Below is a relaxed structure of PmEuZn2, with properties calculated at the PBE level.

Cell lengths 5.228, 5.228, 5.228 Å; angles 60.00, 60.00, 60.00 degrees
Positions (direct):
Zn: 0.500 0.500 0.500
Zn: 0.000 0.000 0.000
Pm: 0.250 0.250 0.250
Eu: 0.750 0.750 0.750

Properties
Magnetization: 7.16 μB/cell
DFT total energy: -4.669 eV/atom
SG: Fm-3m

Below is a relaxed structure of KTeI2O, with properties calculated at the PBE level.

Cell lengths 6.368, 6.368, 4.151 Å; angles 90.00, 90.00, 90.00 degrees
Positions (direct):
K: 0.500 0.500 0.500
I: 0.500 0.000 0.000
I: 0.000 0.500 0.000
Te: 0.000 0.000 0.000
O: 0.000 0.000 0.500

Properties
Magnetization: 0.00 μB/cell
Energy above the lowest structure with this stoichiometry: 0.0 meV per atom
Formation energy from raw total energies: -746 meV/atom
SG: P4/mmm

Below is a relaxed structure of Na3Cr2H9, with properties calculated at the PBE level.

Cell lengths 5.141, 5.141, 6.386 Å; angles 90.00, 90.00, 120.00 degrees
Positions (direct):
Na: 0.333 0.667 0.365
Na: 0.000 0.000 0.000
Na: 0.667 0.333 0.635
Cr: 0.333 0.667 0.849
Cr: 0.667 0.333 0.151
H: 0.183 0.366 0.692
H: 0.500 0.500 0.000
H: 0.500 0.000 0.000
H: 0.817 0.634 0.308
H: 0.000 0.500 0.000
H: 0.634 0.817 0.692
H: 0.817 0.183 0.308
H: 0.366 0.183 0.308
H: 0.183 0.817 0.692

Properties
Magnetization: 6.00 μB/cell
DFT total energy: -3.871 eV/atom
SG: P-3m1

Below is a relaxed structure of HoHgPt, with properties calculated at the PBE level.

Cell lengths 4.348, 8.160, 8.160 Å; angles 90.00, 90.00, 90.00 degrees
Positions (direct):
Hg: 0.500 0.868 0.153
Hg: 0.000 0.153 0.132
Hg: 0.000 0.847 0.868
Hg: 0.500 0.132 0.847
Ho: 0.000 0.418 0.802
Ho: 0.000 0.582 0.198
Ho: 0.500 0.198 0.418
Ho: 0.500 0.802 0.582
Pt: 0.500 0.624 0.886
Pt: 0.000 0.886 0.376
Pt: 0.000 0.114 0.624
Pt: 0.500 0.376 0.114

Properties
Magnetization: 0.00 μB/cell
DFT total energy: -4.280 eV/atom
SG: P4_2/m

Below is a relaxed structure of TmZrScAg, with properties calculated at the PBE level.

Cell lengths 3.327, 3.327, 8.391 Å; angles 90.00, 90.00, 90.00 degrees
Positions (direct):
Zr: 0.000 0.000 0.083
Ag: 0.000 0.000 0.557
Sc: 0.500 0.500 0.338
Tm: 0.500 0.500 0.806

Properties
Magnetization: 0.00 μB/cell
DFT total energy: -5.692 eV/atom
SG: P4mm

Below is a relaxed structure of ZnIn2Pt2, with properties calculated at the PBE level.

Cell lengths 4.118, 4.118, 6.829 Å; angles 72.45, 72.45, 90.00 degrees
Positions (direct):
Pt: 0.604 0.604 0.792
Pt: 0.396 0.396 0.208
Zn: 0.000 0.000 0.000
In: 0.750 0.250 0.500
In: 0.250 0.750 0.500

Properties
Magnetization: 0.00 μB/cell
DFT total energy: -3.850 eV/atom
SG: I4/mmm

Below is a relaxed structure of TbZrInCu, with properties calculated at the PBE level.

Cell lengths 5.012, 5.012, 5.012 Å; angles 60.00, 60.00, 60.00 degrees
Positions (direct):
Cu: 0.250 0.250 0.250
In: 0.750 0.750 0.750
Tb: 0.000 0.000 0.000
Zr: 0.500 0.500 0.500

Properties
Magnetization: 0.77 μB/cell
DFT total energy: -5.160 eV/atom
SG: F-43m

Below is a relaxed structure of HfCu3Os, with properties calculated at the PBE level.

Cell lengths 4.540, 4.540, 4.540 Å; angles 90.00, 90.00, 90.00 degrees
Positions (direct):
Cu: 0.000 0.000 0.500
Cu: 0.500 0.000 0.000
Cu: 0.000 0.500 0.000
Os: 0.000 0.000 0.000
Hf: 0.500 0.500 0.500

Properties
Magnetization: 0.00 μB/cell
Energy above the lowest structure with this stoichiometry: 0.0 meV per atom
SG: Pm-3m

Below is a relaxed structure of CaPuCrN4, with properties calculated at the PBE level.

Cell lengths 5.691, 5.430, 6.735 Å; angles 90.00, 106.68, 90.00 degrees
Positions (direct):
Pu: 0.779 0.750 0.443
Pu: 0.221 0.250 0.557
N: 0.037 0.502 0.284
N: 0.446 0.750 0.160
N: 0.432 0.750 0.559
N: 0.963 0.002 0.716
N: 0.568 0.250 0.441
N: 0.037 0.998 0.284
N: 0.963 0.498 0.716
N: 0.554 0.250 0.840
Cr: 0.762 0.250 0.690
Cr: 0.238 0.750 0.310
Ca: 0.301 0.250 0.082
Ca: 0.699 0.750 0.918

Properties
Magnetization: 8.00 μB/cell
Formation energy from raw total energies: -809 meV/atom
SG: P2_1/m

Below is a relaxed structure of Cs2LaUS6, with properties calculated at the PBE level.

Cell lengths 7.653, 7.650, 10.819 Å; angles 90.00, 90.02, 90.00 degrees
Positions (direct):
U: 0.500 0.000 0.500
U: 0.000 0.500 0.000
La: 0.000 0.500 0.500
La: 0.500 0.000 0.000
S: 0.000 0.500 0.236
S: 0.500 0.000 0.736
S: 0.736 0.765 0.500
S: 0.735 0.236 0.500
S: 0.000 0.500 0.764
S: 0.236 0.735 0.000
S: 0.264 0.235 0.500
S: 0.500 0.000 0.264
S: 0.265 0.764 0.500
S: 0.764 0.265 0.000
S: 0.235 0.264 0.000
S: 0.765 0.736 0.000
Cs: 0.000 0.000 0.250
Cs: 0.000 0.000 0.750
Cs: 0.500 0.500 0.750
Cs: 0.500 0.500 0.250

Properties
Magnetization: 0.00 μB/cell
Formation energy from raw total energies: -1388 meV/atom
SG: Fm-3m

Below is a relaxed structure of Nd4C2F5, with properties calculated at the PBE level.

Cell lengths 3.791, 6.851, 8.591 Å; angles 113.51, 102.75, 90.00 degrees
Positions (direct):
F: 0.500 0.000 0.000
F: 0.814 0.544 0.629
F: 0.186 0.456 0.371
F: 0.186 0.915 0.371
F: 0.814 0.085 0.629
Nd: 0.000 0.265 0.000
Nd: 0.307 0.307 0.614
Nd: 0.000 0.735 0.000
Nd: 0.693 0.693 0.386
C: 0.453 0.453 0.906
C: 0.547 0.547 0.094

Properties
Magnetization: 0.00 μB/cell
Formation energy from raw total energies: -2454 meV/atom
SG: Immm

Below is a relaxed structure of BeTl2F, with properties calculated at the PBE level.

Cell lengths 5.464, 5.464, 7.591 Å; angles 68.91, 68.91, 90.00 degrees
Positions (direct):
Tl: 0.875 0.864 0.750
Tl: 0.614 0.125 0.250
Tl: 0.136 0.625 0.250
Tl: 0.375 0.386 0.750
F: 0.750 0.250 0.500
F: 0.000 0.000 0.000
Be: 0.250 0.750 0.500
Be: 0.500 0.500 0.000

Properties
Magnetization: 0.00 μB/cell
Energy above the lowest structure with this stoichiometry: 0.0 meV per atom
Formation energy from raw total energies: -263 meV/atom
SG: I-42d

Below is a relaxed structure of TbTmH2, with properties calculated at the PBE level.

Cell lengths 3.465, 3.465, 6.158 Å; angles 73.66, 73.66, 60.00 degrees
Positions (direct):
Tm: 0.671 0.671 0.987
H: 0.263 0.263 0.211
H: 0.075 0.075 0.774
Tb: 0.491 0.491 0.528

Properties
Magnetization: 0.00 μB/cell
Energy above the lowest structure with this stoichiometry: 236.0 meV per atom
SG: R3m

Below is a relaxed structure of Li2ScAg2, with properties calculated at the PBE level.

Cell lengths 7.579, 7.579, 3.017 Å; angles 90.00, 90.00, 90.00 degrees
Positions (direct):
Sc: 0.500 0.500 0.000
Sc: 0.000 0.000 0.000
Ag: 0.184 0.684 0.500
Ag: 0.316 0.184 0.500
Ag: 0.816 0.316 0.500
Ag: 0.684 0.816 0.500
Li: 0.616 0.116 0.000
Li: 0.384 0.884 0.000
Li: 0.116 0.384 0.000
Li: 0.884 0.616 0.000

Properties
Magnetization: 0.00 μB/cell
Energy above the lowest structure with this stoichiometry: 9.4 meV per atom
SG: P4/mbm

Below is a relaxed structure of PaMn10Fe2, with properties calculated at the PBE level.

Cell lengths 6.319, 6.319, 7.926 Å; angles 90.00, 90.00, 97.75 degrees
Positions (direct):
Mn: 0.395 0.605 0.067
Mn: 0.132 0.383 0.250
Mn: 0.605 0.395 0.933
Mn: 0.742 0.527 0.250
Mn: 0.828 0.172 0.105
Mn: 0.617 0.868 0.250
Mn: 0.868 0.617 0.750
Mn: 0.225 0.225 0.500
Mn: 0.172 0.828 0.605
Mn: 0.775 0.775 0.500
Mn: 0.775 0.775 0.000
Mn: 0.383 0.132 0.750
Mn: 0.395 0.605 0.433
Mn: 0.172 0.828 0.895
Mn: 0.605 0.395 0.567
Mn: 0.473 0.258 0.250
Mn: 0.225 0.225 0.000
Mn: 0.527 0.742 0.750
Mn: 0.828 0.172 0.395
Mn: 0.258 0.473 0.750
Pa: 0.881 0.119 0.750
Pa: 0.119 0.881 0.250
Fe: 0.000 0.500 0.000
Fe: 0.500 0.000 0.000
Fe: 0.000 0.500 0.500
Fe: 0.500 0.000 0.500

Properties
Magnetization: 4.01 μB/cell
DFT total energy: -9.077 eV/atom
SG: Cmcm

Below is a relaxed structure of BaMgZn2Co, with properties calculated at the PBE level.

Cell lengths 4.858, 4.858, 4.863 Å; angles 90.00, 90.00, 90.00 degrees
Positions (direct):
Zn: 0.500 0.000 0.000
Zn: 0.000 0.500 0.000
Co: 0.000 0.000 0.000
Ba: 0.500 0.500 0.500
Mg: 0.000 0.000 0.500

Properties
Magnetization: 0.00 μB/cell
DFT total energy: -2.671 eV/atom
SG: P4/mmm

Below is a relaxed structure of NpCdP2, with properties calculated at the PBE level.

Cell lengths 4.202, 4.202, 7.856 Å; angles 74.49, 74.49, 60.00 degrees
Positions (direct):
P: 0.892 0.892 0.325
P: 0.108 0.108 0.675
Cd: 0.000 0.000 0.000
Np: 0.500 0.500 0.500

Properties
Magnetization: 3.00 μB/cell
Energy above the lowest structure with this stoichiometry: 204.0 meV per atom
SG: R-3m

Below is a relaxed structure of SrIn2W, with properties calculated at the PBE level.

Cell lengths 7.942, 7.942, 4.779 Å; angles 72.47, 72.47, 22.46 degrees
Positions (direct):
In: 0.250 0.250 0.251
In: 0.077 0.077 0.922
Sr: 0.435 0.435 0.564
W: 0.738 0.738 0.763

Properties
Magnetization: 0.00 μB/cell
Energy above the lowest structure with this stoichiometry: 80.2 meV per atom
SG: Cm

Below is a relaxed structure of Be2FeCo2, with properties calculated at the PBE level.

Cell lengths 6.201, 6.201, 2.470 Å; angles 90.00, 90.00, 90.00 degrees
Positions (direct):
Be: 0.834 0.334 0.500
Be: 0.666 0.834 0.500
Be: 0.166 0.666 0.500
Be: 0.334 0.166 0.500
Co: 0.132 0.368 0.000
Co: 0.868 0.632 0.000
Co: 0.368 0.868 0.000
Co: 0.632 0.132 0.000
Fe: 0.500 0.500 0.000
Fe: 0.000 0.000 0.000

Properties
Magnetization: 0.12 μB/cell
Energy above the lowest structure with this stoichiometry: 196.9 meV per atom
SG: P4/mbm

Below is a relaxed structure of Ce2Dy3ErBi6, with properties calculated at the PBE level.

Cell lengths 7.820, 7.820, 7.821 Å; angles 99.61, 99.61, 120.01 degrees
Positions (direct):
Bi: 0.757 0.757 0.256
Bi: 0.587 0.916 0.747
Bi: 0.916 0.587 0.747
Bi: 0.413 0.084 0.253
Bi: 0.243 0.243 0.744
Bi: 0.084 0.413 0.253
Ce: 0.666 0.334 0.000
Ce: 0.334 0.666 0.000
Er: 0.000 0.000 0.000
Dy: 0.169 0.831 0.500
Dy: 0.831 0.169 0.500
Dy: 0.500 0.500 0.500

Properties
Magnetization: 1.65 μB/cell
DFT total energy: -5.289 eV/atom
SG: C2/m

Below is a relaxed structure of TmMoP2Rh5, with properties calculated at the PBE level.

Cell lengths 3.944, 3.944, 10.433 Å; angles 90.00, 90.00, 90.00 degrees
Positions (direct):
Rh: 0.500 0.000 0.838
Rh: 0.000 0.500 0.838
Rh: 0.000 0.500 0.162
Rh: 0.000 0.000 0.500
Rh: 0.500 0.000 0.162
P: 0.000 0.000 0.715
P: 0.000 0.000 0.285
Mo: 0.000 0.000 0.000
Tm: 0.500 0.500 0.500

Properties
Magnetization: 0.00 μB/cell
DFT total energy: -7.235 eV/atom
SG: P4/mmm